(1)
Below is GaBrCl3 after structural relaxation, with properties calculated at the GGA-PBE level.

Lattice parameters (Å, degrees): 10.656 7.335 14.627 90.00 132.20 90.00
Atoms (fractional coordinates):
Ga 0.061 0.190 0.481
Ga 0.061 0.310 0.981
Ga 0.939 0.690 0.019
Ga 0.939 0.810 0.519
Br 0.372 0.567 0.415
Br 0.372 0.933 0.915
Br 0.628 0.067 0.085
Br 0.628 0.433 0.585
Cl 0.022 0.746 0.196
Cl 0.022 0.754 0.696
Cl 0.167 0.608 0.039
Cl 0.167 0.892 0.539
Cl 0.228 0.131 0.133
Cl 0.228 0.369 0.633
Cl 0.772 0.631 0.367
Cl 0.772 0.869 0.867
Cl 0.833 0.108 0.461
Cl 0.833 0.392 0.961
Cl 0.978 0.246 0.304
Cl 0.978 0.254 0.804

## Properties
Space group: P2_1/c
Energy relative to the elements, uncorrected in kJ per mole of atoms: -83.0


(2)
Below is PmPr3In after structural relaxation, with properties calculated at the GGA-PBE level.

Lattice parameters (Å, degrees): 8.725 8.725 5.607 90.00 90.00 121.94
Atoms (fractional coordinates):
Pm 0.095 0.905 0.000
Pm 0.905 0.095 0.000
Pr 0.000 0.500 0.000
Pr 0.160 0.840 0.500
Pr 0.324 0.324 0.000
Pr 0.500 0.000 0.000
Pr 0.676 0.676 0.000
Pr 0.840 0.160 0.500
In 0.382 0.618 0.500
In 0.618 0.382 0.500

## Properties
DFT formation energy in meV/atom: 338
Space group: Cmmm


(3)
Below is RbP2SCl after structural relaxation, with properties calculated at the GGA-PBE level.

Lattice parameters (Å, degrees): 4.929 4.929 5.234 90.00 90.00 90.00
Atoms (fractional coordinates):
Rb 0.000 0.000 0.000
P 0.000 0.500 0.500
P 0.500 0.000 0.500
S 0.500 0.500 0.000
Cl 0.500 0.500 0.500

## Properties
Space group: P4/mmm
Energy relative to the elements, uncorrected in kJ per mole of atoms: 77.8


(4)
Below is SrSc2Pd after structural relaxation, with properties calculated at the GGA-PBE level.

Lattice parameters (Å, degrees): 5.079 5.079 5.079 60.00 60.00 60.00
Atoms (fractional coordinates):
Sr 0.000 0.000 0.000
Sc 0.250 0.250 0.250
Sc 0.750 0.750 0.750
Pd 0.500 0.500 0.500

## Properties
DFT formation energy in meV/atom: 50
Space group: Fm-3m


(5)
Below is CrInRh2 after structural relaxation, with properties calculated at the GGA-PBE level.

Lattice parameters (Å, degrees): 4.640 4.640 4.967 101.52 101.52 36.62
Atoms (fractional coordinates):
Cr 0.000 0.000 0.000
In 0.500 0.500 0.500
Rh 0.257 0.257 0.770
Rh 0.743 0.743 0.230

## Properties
DFT formation energy in meV/atom: -26
Space group: C2/m


(6)
Below is MgCoSi2 after structural relaxation, with properties calculated at the GGA-PBE level.

Lattice parameters (Å, degrees): 7.991 7.991 7.991 20.95 20.95 20.95
Atoms (fractional coordinates):
Mg 0.000 0.000 0.000
Co 0.500 0.500 0.500
Si 0.237 0.237 0.237
Si 0.763 0.763 0.763

## Properties
Space group: R-3m
Energy relative to the elements, uncorrected in kJ per mole of atoms: -9.2


(7)
Below is Ho7Er16Th6 after structural relaxation, with properties calculated at the GGA-PBE level.

Lattice parameters (Å, degrees): 10.987 10.987 10.987 60.00 60.00 60.00
Atoms (fractional coordinates):
Ho 0.000 0.000 0.000
Ho 0.000 0.000 0.500
Ho 0.000 0.500 0.000
Ho 0.000 0.500 0.500
Ho 0.500 0.000 0.000
Ho 0.500 0.000 0.500
Ho 0.500 0.500 0.000
Er 0.024 0.659 0.659
Er 0.120 0.120 0.120
Er 0.120 0.120 0.640
Er 0.120 0.640 0.120
Er 0.341 0.341 0.341
Er 0.341 0.341 0.976
Er 0.341 0.976 0.341
Er 0.360 0.880 0.880
Er 0.640 0.120 0.120
Er 0.659 0.024 0.659
Er 0.659 0.659 0.024
Er 0.659 0.659 0.659
Er 0.880 0.360 0.880
Er 0.880 0.880 0.360
Er 0.880 0.880 0.880
Er 0.976 0.341 0.341
Th 0.330 0.330 0.670
Th 0.330 0.670 0.330
Th 0.330 0.670 0.670
Th 0.670 0.330 0.330
Th 0.670 0.330 0.670
Th 0.670 0.670 0.330

## Properties
DFT formation energy in meV/atom: 312
Space group: Fm-3m


(8)
Below is NdPaOsRu after structural relaxation, with properties calculated at the GGA-PBE level.

Lattice parameters (Å, degrees): 4.916 4.916 4.916 60.00 60.00 60.00
Atoms (fractional coordinates):
Nd 0.000 0.000 0.000
Pa 0.500 0.500 0.500
Os 0.750 0.750 0.750
Ru 0.250 0.250 0.250

## Properties
DFT formation energy in meV/atom: -131
Space group: F-43m


(9)
Below is Mn2NbPt3 after structural relaxation, with properties calculated at the GGA-PBE level.

Lattice parameters (Å, degrees): 2.889 2.889 11.199 90.00 90.00 90.00
Atoms (fractional coordinates):
Mn 0.000 0.000 0.159
Mn 0.000 0.000 0.841
Nb 0.000 0.000 0.500
Pt 0.500 0.500 0.000
Pt 0.500 0.500 0.324
Pt 0.500 0.500 0.676

## Properties
DFT formation energy in meV/atom: -461
Space group: P4/mmm


(10)
Below is CeYIn6 after structural relaxation, with properties calculated at the GGA-PBE level.

Lattice parameters (Å, degrees): 4.680 4.680 9.343 90.00 90.00 90.00
Atoms (fractional coordinates):
Ce 0.000 0.000 0.000
Y 0.000 0.000 0.500
In 0.000 0.500 0.252
In 0.000 0.500 0.748
In 0.500 0.000 0.252
In 0.500 0.000 0.748
In 0.500 0.500 0.000
In 0.500 0.500 0.500

## Properties
DFT formation energy in meV/atom: -423
Space group: P4/mmm


(11)
Below is IrRu2Rh after structural relaxation, with properties calculated at the GGA-PBE level.

Lattice parameters (Å, degrees): 2.712 2.712 7.692 90.00 90.00 90.00
Atoms (fractional coordinates):
Ir 0.000 0.000 0.000
Ru 0.500 0.500 0.249
Ru 0.500 0.500 0.751
Rh 0.000 0.000 0.500

## Properties
DFT formation energy in meV/atom: 32
Space group: P4/mmm


(12)
Below is ZnTc3Pd after structural relaxation, with properties calculated at the GGA-PBE level.

Lattice parameters (Å, degrees): 4.723 4.723 4.723 90.00 90.00 90.00
Atoms (fractional coordinates):
Zn 0.000 0.000 0.000
Tc 0.000 0.500 0.500
Tc 0.500 0.000 0.500
Tc 0.500 0.500 0.000
Pd 0.500 0.500 0.500

## Properties
DFT formation energy in meV/atom: 2121
Space group: Pm-3m